Record 1
Computed, not measured: a relaxed Na3TlCu crystal at the PBE-GGA level of DFT.

Cell: 5.814 5.814 5.814 Å, 90.00 90.00 90.00°
Fractional positions:
Na  0.000  0.000  0.500
Na  0.000  0.500  0.000
Na  0.500  0.000  0.000
Tl  0.000  0.000  0.000
Cu  0.500  0.500  0.500

Calculated values
**Offset from the most stable computed form**: 161.8 kJ/mol of formula units

Record 2
Computed, not measured: a relaxed Ag2SbCl crystal at the PBE-GGA level of DFT.

Cell: 6.788 6.788 9.771 Å, 90.00 90.00 90.00°
Fractional positions:
Ag  0.244  0.250  0.125
Ag  0.250  0.744  0.375
Ag  0.250  0.756  0.875
Ag  0.256  0.250  0.625
Ag  0.744  0.750  0.625
Ag  0.750  0.244  0.875
Ag  0.750  0.256  0.375
Ag  0.756  0.750  0.125
Sb  0.000  0.000  0.500
Sb  0.000  0.500  0.750
Sb  0.500  0.000  0.250
Sb  0.500  0.500  0.000
Cl  0.000  0.000  0.000
Cl  0.000  0.500  0.250
Cl  0.500  0.000  0.750
Cl  0.500  0.500  0.500

Calculated values
**Offset from the most stable computed form**: 59.2 kJ/mol of formula units
**ΔE_f (raw)**: 14 meV/atom

Record 3
Computed, not measured: a relaxed Ta2CdOs crystal at the PBE-GGA level of DFT.

Cell: 2.979 2.979 8.095 Å, 90.00 90.00 90.00°
Fractional positions:
Ta  0.000  0.000  0.217
Ta  0.000  0.000  0.783
Cd  0.500  0.500  0.500
Os  0.500  0.500  0.000

Calculated values
**Calculated total energy**: -0.656 Ry/atom

Record 4
Computed, not measured: a relaxed Zr3MoCl crystal at the PBE-GGA level of DFT.

Cell: 4.751 4.751 4.751 Å, 90.00 90.00 90.00°
Fractional positions:
Zr  0.000  0.000  0.500
Zr  0.000  0.500  0.000
Zr  0.500  0.000  0.000
Mo  0.500  0.500  0.500
Cl  0.000  0.000  0.000

Calculated values
**Offset from the most stable computed form**: 0.0 kJ/mol of formula units
**ΔE_f (raw)**: 307 meV/atom

Record 5
Computed, not measured: a relaxed NaOs2Au crystal at the PBE-GGA level of DFT.

Cell: 8.086 8.086 4.728 Å, 90.00 90.00 90.00°
Fractional positions:
Na  0.000  0.000  0.000
Na  0.000  0.500  0.250
Na  0.500  0.000  0.750
Na  0.500  0.500  0.500
Os  0.193  0.250  0.625
Os  0.250  0.693  0.875
Os  0.250  0.807  0.375
Os  0.307  0.250  0.125
Os  0.693  0.750  0.125
Os  0.750  0.193  0.375
Os  0.750  0.307  0.875
Os  0.807  0.750  0.625
Au  0.000  0.000  0.500
Au  0.000  0.500  0.750
Au  0.500  0.000  0.250
Au  0.500  0.500  0.000

Calculated values
**Offset from the most stable computed form**: 0.0 kJ/mol of formula units

Record 6
Computed, not measured: a relaxed Hf2GaRe2 crystal at the PBE-GGA level of DFT.

Cell: 6.581 6.581 4.323 Å, 90.00 90.00 90.00°
Fractional positions:
Hf  0.177  0.323  0.000
Hf  0.323  0.823  0.000
Hf  0.677  0.177  0.000
Hf  0.823  0.677  0.000
Ga  0.000  0.000  0.500
Ga  0.500  0.500  0.500
Re  0.129  0.629  0.500
Re  0.371  0.129  0.500
Re  0.629  0.871  0.500
Re  0.871  0.371  0.500

Calculated values
**Calculated total energy**: -0.708 Ry/atom

Record 7
Computed, not measured: a relaxed LaGdAgBr crystal at the PBE-GGA level of DFT.

Cell: 7.563 7.563 7.563 Å, 90.00 90.00 90.00°
Fractional positions:
La  0.000  0.000  0.000
La  0.000  0.500  0.500
La  0.500  0.000  0.500
La  0.500  0.500  0.000
Gd  0.000  0.000  0.500
Gd  0.000  0.500  0.000
Gd  0.500  0.000  0.000
Gd  0.500  0.500  0.500
Ag  0.250  0.250  0.750
Ag  0.250  0.750  0.250
Ag  0.750  0.250  0.250
Ag  0.750  0.750  0.750
Br  0.250  0.250  0.250
Br  0.250  0.750  0.750
Br  0.750  0.250  0.750
Br  0.750  0.750  0.250

Calculated values
**ΔE_f (raw)**: -540 meV/atom

Record 8
Computed, not measured: a relaxed NpB2RhO8 crystal at the PBE-GGA level of DFT.

Cell: 4.908 4.908 6.175 Å, 90.00 90.00 120.00°
Fractional positions:
Np  0.000  0.000  0.000
B  0.333  0.667  0.204
B  0.667  0.333  0.796
Rh  0.000  0.000  0.500
O  0.168  0.337  0.273
O  0.168  0.832  0.273
O  0.333  0.667  0.974
O  0.337  0.168  0.727
O  0.663  0.832  0.273
O  0.667  0.333  0.026
O  0.832  0.168  0.727
O  0.832  0.663  0.727

Calculated values
**ΔE_f (raw)**: -1740 meV/atom

Record 9
Computed, not measured: a relaxed Nb4GeAs crystal at the PBE-GGA level of DFT.

Cell: 6.775 6.775 5.394 Å, 101.88 101.88 112.55°
Fractional positions:
Nb  0.069  0.691  0.922
Nb  0.205  0.405  0.633
Nb  0.309  0.931  0.578
Nb  0.405  0.205  0.133
Nb  0.595  0.795  0.867
Nb  0.691  0.069  0.422
Nb  0.795  0.595  0.367
Nb  0.931  0.309  0.078
Ge  0.386  0.614  0.250
Ge  0.614  0.386  0.750
As  0.010  0.990  0.250
As  0.990  0.010  0.750

Calculated values
**Offset from the most stable computed form**: 0.0 kJ/mol of formula units

Record 10
Computed, not measured: a relaxed LaScNb2Ir crystal at the PBE-GGA level of DFT.

Cell: 4.976 4.976 5.443 Å, 90.00 90.00 90.00°
Fractional positions:
La  0.000  0.000  0.000
Sc  0.500  0.500  0.000
Nb  0.000  0.500  0.500
Nb  0.500  0.000  0.500
Ir  0.000  0.000  0.500

Calculated values
**Offset from the most stable computed form**: 0.0 kJ/mol of formula units

Record 11
Computed, not measured: a relaxed Th2InPd crystal at the PBE-GGA level of DFT.

Cell: 3.465 3.465 8.693 Å, 90.00 90.00 90.00°
Fractional positions:
Th  0.000  0.000  0.225
Th  0.000  0.000  0.775
In  0.500  0.500  0.500
Pd  0.500  0.500  0.000

Calculated values
**Offset from the most stable computed form**: 0.0 kJ/mol of formula units

Record 12
Computed, not measured: a relaxed LuHfRePd crystal at the PBE-GGA level of DFT.

Cell: 6.671 6.671 6.671 Å, 90.00 90.00 90.00°
Fractional positions:
Lu  0.000  0.000  0.000
Lu  0.000  0.500  0.500
Lu  0.500  0.000  0.500
Lu  0.500  0.500  0.000
Hf  0.000  0.000  0.500
Hf  0.000  0.500  0.000
Hf  0.500  0.000  0.000
Hf  0.500  0.500  0.500
Re  0.250  0.250  0.250
Re  0.250  0.750  0.750
Re  0.750  0.250  0.750
Re  0.750  0.750  0.250
Pd  0.250  0.250  0.750
Pd  0.250  0.750  0.250
Pd  0.750  0.250  0.250
Pd  0.750  0.750  0.750

Calculated values
**Calculated total energy**: -0.624 Ry/atom

Record 13
Computed, not measured: a relaxed HfTi3Cu crystal at the PBE-GGA level of DFT.

Cell: 4.631 4.631 4.631 Å, 90.00 90.00 90.00°
Fractional positions:
Hf  0.000  0.000  0.000
Ti  0.000  0.500  0.500
Ti  0.500  0.000  0.500
Ti  0.500  0.500  0.000
Cu  0.500  0.500  0.500

Calculated values
**Offset from the most stable computed form**: 212.4 kJ/mol of formula units

Record 14
Computed, not measured: a relaxed PmAl11Pd crystal at the PBE-GGA level of DFT.

Cell: 6.823 6.823 7.362 Å, 97.52 97.52 134.77°
Fractional positions:
Pm  0.000  0.000  0.000
Al  0.000  0.000  0.500
Al  0.000  0.500  0.000
Al  0.003  0.649  0.644
Al  0.282  0.501  0.774
Al  0.351  0.997  0.356
Al  0.499  0.718  0.226
Al  0.500  0.000  0.000
Al  0.501  0.282  0.774
Al  0.649  0.003  0.644
Al  0.718  0.499  0.226
Al  0.997  0.351  0.356
Pd  0.500  0.500  0.500

Calculated values
**Calculated total energy**: -0.307 Ry/atom

Record 15
Computed, not measured: a relaxed Zr2AgF crystal at the PBE-GGA level of DFT.

Cell: 6.662 6.662 6.662 Å, 90.00 90.00 90.00°
Fractional positions:
Zr  0.250  0.250  0.250
Zr  0.250  0.250  0.750
Zr  0.250  0.750  0.250
Zr  0.250  0.750  0.750
Zr  0.750  0.250  0.250
Zr  0.750  0.250  0.750
Zr  0.750  0.750  0.250
Zr  0.750  0.750  0.750
Ag  0.000  0.000  0.000
Ag  0.000  0.500  0.500
Ag  0.500  0.000  0.500
Ag  0.500  0.500  0.000
F  0.000  0.000  0.500
F  0.000  0.500  0.000
F  0.500  0.000  0.000
F  0.500  0.500  0.500

Calculated values
**Offset from the most stable computed form**: 0.0 kJ/mol of formula units
**ΔE_f (raw)**: -461 meV/atom

Record 16
Computed, not measured: a relaxed ZrCu2SbH crystal at the PBE-GGA level of DFT.

Cell: 4.137 4.137 4.167 Å, 90.00 90.00 90.00°
Fractional positions:
Zr  0.000  0.000  0.000
Cu  0.000  0.500  0.500
Cu  0.500  0.000  0.500
Sb  0.500  0.500  0.000
H  0.000  0.000  0.500

Calculated values
**Offset from the most stable computed form**: 0.0 kJ/mol of formula units

Record 17
Computed, not measured: a relaxed PuBeHgO5 crystal at the PBE-GGA level of DFT.

Cell: 5.725 5.725 7.972 Å, 107.16 107.16 96.20°
Fractional positions:
Pu  0.000  0.500  0.000
Pu  0.500  0.000  0.500
Be  0.071  0.929  0.750
Be  0.929  0.071  0.250
Hg  0.409  0.591  0.750
Hg  0.591  0.409  0.250
O  0.124  0.738  0.869
O  0.139  0.232  0.883
O  0.232  0.139  0.383
O  0.262  0.876  0.631
O  0.347  0.653  0.250
O  0.653  0.347  0.750
O  0.738  0.124  0.369
O  0.768  0.861  0.617
O  0.861  0.768  0.117
O  0.876  0.262  0.131

Calculated values
**ΔE_f (raw)**: -1919 meV/atom

Record 18
Computed, not measured: a relaxed AsHRh2 crystal at the PBE-GGA level of DFT.

Cell: 5.793 5.793 5.793 Å, 90.00 90.00 90.00°
Fractional positions:
As  0.000  0.000  0.000
As  0.000  0.500  0.500
As  0.500  0.000  0.500
As  0.500  0.500  0.000
H  0.000  0.000  0.500
H  0.000  0.500  0.000
H  0.500  0.000  0.000
H  0.500  0.500  0.500
Rh  0.250  0.250  0.250
Rh  0.250  0.250  0.750
Rh  0.250  0.750  0.250
Rh  0.250  0.750  0.750
Rh  0.750  0.250  0.250
Rh  0.750  0.250  0.750
Rh  0.750  0.750  0.250
Rh  0.750  0.750  0.750

Calculated values
**Offset from the most stable computed form**: 51.1 kJ/mol of formula units

Record 19
Computed, not measured: a relaxed HoThGePd crystal at the PBE-GGA level of DFT.

Cell: 7.213 7.213 7.213 Å, 90.00 90.00 90.00°
Fractional positions:
Ho  0.000  0.000  0.000
Ho  0.000  0.500  0.500
Ho  0.500  0.000  0.500
Ho  0.500  0.500  0.000
Th  0.000  0.000  0.500
Th  0.000  0.500  0.000
Th  0.500  0.000  0.000
Th  0.500  0.500  0.500
Ge  0.250  0.250  0.750
Ge  0.250  0.750  0.250
Ge  0.750  0.250  0.250
Ge  0.750  0.750  0.750
Pd  0.250  0.250  0.250
Pd  0.250  0.750  0.750
Pd  0.750  0.250  0.750
Pd  0.750  0.750  0.250

Calculated values
**Calculated total energy**: -0.448 Ry/atom

Record 20
Computed, not measured: a relaxed Tb3Sm6Ho crystal at the PBE-GGA level of DFT.

Cell: 11.051 11.051 6.332 Å, 90.00 90.00 120.45°
Fractional positions:
Tb  0.114  0.886  0.500
Tb  0.216  0.444  0.114
Tb  0.444  0.216  0.614
Tb  0.556  0.784  0.114
Tb  0.784  0.556  0.614
Tb  0.886  0.114  0.000
Sm  0.026  0.445  0.714
Sm  0.125  0.211  0.529
Sm  0.211  0.125  0.029
Sm  0.222  0.778  0.931
Sm  0.445  0.026  0.214
Sm  0.461  0.539  0.690
Sm  0.539  0.461  0.190
Sm  0.555  0.974  0.714
Sm  0.778  0.222  0.431
Sm  0.789  0.875  0.529
Sm  0.875  0.789  0.029
Sm  0.974  0.555  0.214
Ho  0.303  0.697  0.457
Ho  0.697  0.303  0.957

Calculated values
**Offset from the most stable computed form**: 20.2 kJ/mol of formula units